This record from Alexandria describes an optimized crystal structure of CrSb2Te. The functional is PBE-GGA.

Cell and atoms, written as POSCAR:
```
CrSb2Te
1.0
6.913 -0.048 -0.055
4.481 5.265 0.055
-5.304 -3.466 2.766
Cr Te Sb
1 1 2
Direct
0.250 0.750 0.500
0.750 0.250 0.500
0.439 0.439 0.000
0.061 0.061 0.000
```

Calculated values
Spin magnetization = 0.87 μB per atom
Density of states at the Fermi level = 2.3 states/eV/cell
SG = Immm (71)
Crystal system = orthorhombic
Relative energy among the computed polymorphs = 131 meV/atom

***

This record from Alexandria describes an optimized crystal structure of ScNbSn2. The functional is PBE-GGA.

Cell and atoms, written as POSCAR:
```
ScNbSn2
1.0
-1.742 2.062 -1.633
-2.902 -0.791 -0.952
-5.650 4.308 8.420
Sn Nb Sc
2 1 1
Direct
0.912 0.912 0.264
0.088 0.088 0.736
0.000 0.000 0.000
0.500 0.500 0.500
```

Calculated values
Spin magnetization = 0.00 μB per atom
Density of states at the Fermi level = 6.7 states/eV/cell
SG = R-3m (166)
Crystal system = trigonal
Relative energy among the computed polymorphs = 436 meV/atom

***

This record from Alexandria describes an optimized crystal structure of Al2HgPd8. The functional is PBE-GGA.

Cell and atoms, written as POSCAR:
```
Al2HgPd8
1.0
-3.089 2.348 1.249
-3.089 -1.135 -5.509
-0.214 -5.992 4.085
Pd Al Hg
8 2 1
Direct
0.393 0.525 0.787
0.319 0.072 0.639
0.842 0.771 0.683
0.681 0.928 0.361
0.043 0.724 0.086
0.607 0.475 0.213
0.957 0.276 0.914
0.158 0.229 0.317
0.218 0.662 0.435
0.782 0.338 0.565
0.500 0.000 0.000
```

Calculated values
Spin magnetization = 0.00 μB per atom
Density of states at the Fermi level = 5.2 states/eV/cell
SG = C2/m (12)
Crystal system = monoclinic
Relative energy among the computed polymorphs = 0 meV/atom

***

This record from Alexandria describes an optimized crystal structure of Li2HoSi2Au2. The functional is PBE-GGA.

Cell and atoms, written as POSCAR:
```
Li2HoSi2Au2
1.0
4.246 0.000 0.000
2.123 3.678 0.000
2.123 1.226 7.912
Au Si Ho Li
2 2 1 2
Direct
0.424 0.424 0.728
0.576 0.576 0.272
0.256 0.256 0.233
0.744 0.744 0.767
0.000 0.000 0.000
0.859 0.859 0.423
0.141 0.141 0.577
```

Calculated values
Spin magnetization = 0.00 μB per atom
Density of states at the Fermi level = 2.1 states/eV/cell
SG = R-3m (166)
Crystal system = trigonal

***

This record from Alexandria describes an optimized crystal structure of Ce3CoIr2. The functional is PBE-GGA.

Cell and atoms, written as POSCAR:
```
Ce3CoIr2
1.0
3.916 0.000 0.000
0.000 11.398 0.000
0.000 0.000 11.622
Ce Ir Co
12 8 4
Direct
0.250 0.686 0.219
0.250 0.129 0.553
0.750 0.314 0.781
0.750 0.942 0.121
0.750 0.558 0.621
0.250 0.814 0.719
0.250 0.442 0.379
0.250 0.371 0.053
0.750 0.629 0.947
0.750 0.186 0.281
0.250 0.058 0.879
0.750 0.871 0.447
0.750 0.502 0.172
0.250 0.002 0.328
0.250 0.498 0.828
0.750 0.305 0.498
0.250 0.805 0.002
0.250 0.695 0.502
0.750 0.998 0.672
0.750 0.195 0.998
0.750 0.621 0.372
0.250 0.121 0.128
0.250 0.379 0.628
0.750 0.879 0.872
```

Calculated values
Spin magnetization = 0.01 μB per atom
Density of states at the Fermi level = 39.1 states/eV/cell
SG = Pnma (62)
Crystal system = orthorhombic
Relative energy among the computed polymorphs = 0 meV/atom

***

This record from Alexandria describes an optimized crystal structure of Na2TbScSe4. The functional is PBE-GGA.

Cell and atoms, written as POSCAR:
```
Na2TbScSe4
1.0
-3.837 -1.262 -0.383
2.270 -6.094 -2.655
-0.508 -0.680 7.321
Tb Se Sc Na
1 4 1 2
Direct
0.500 0.500 0.000
0.500 0.229 0.221
0.000 0.246 0.773
0.500 0.771 0.779
0.000 0.754 0.227
0.000 0.000 0.000
0.500 0.000 0.500
0.000 0.500 0.500
```

Calculated values
Spin magnetization = 0.00 μB per atom
Density of states at the Fermi level = 0.0 states/eV/cell
SG = P2/m (10)
Crystal system = monoclinic

***

Final energy for every record listed, in sequence, given in eV/atom: -5.0262; -5.8724; -4.9814; -4.2776; -7.6754; -5.0789.